1.
The following is a DFT calculation (GGA-PBEsol) of an optimized crystal structure of CsInP2O7.

abc: 7.722 8.645 10.450
angles: 90.00 90.00 104.87
Fractional coordinates of all 44 atoms:
Cs 0.691 0.048 0.692
Cs 0.309 0.452 0.192
Cs 0.309 0.952 0.308
Cs 0.691 0.548 0.808
In 0.262 0.242 0.601
In 0.738 0.258 0.101
In 0.738 0.758 0.399
In 0.262 0.742 0.899
P 0.368 0.171 0.906
P 0.632 0.329 0.406
P 0.632 0.829 0.094
P 0.368 0.671 0.594
P 0.929 0.184 0.369
P 0.071 0.316 0.869
P 0.071 0.816 0.631
P 0.929 0.684 0.131
O 0.497 0.272 0.003
O 0.503 0.228 0.503
O 0.503 0.728 0.997
O 0.497 0.772 0.497
O 0.828 0.304 0.441
O 0.172 0.196 0.941
O 0.172 0.696 0.559
O 0.828 0.804 0.059
O 0.418 0.237 0.771
O 0.582 0.263 0.271
O 0.582 0.763 0.229
O 0.418 0.737 0.729
O 0.945 0.228 0.227
O 0.055 0.272 0.727
O 0.055 0.772 0.773
O 0.945 0.728 0.273
O 0.118 0.227 0.426
O 0.882 0.273 0.926
O 0.882 0.773 0.574
O 0.118 0.727 0.074
O 0.352 0.994 0.917
O 0.648 0.506 0.417
O 0.648 0.006 0.083
O 0.352 0.494 0.583
O 0.818 0.016 0.399
O 0.182 0.484 0.899
O 0.182 0.984 0.601
O 0.818 0.516 0.101

Results
* DFT total energy: -6.945 eV per atom
* Fermi-level density of states: 0.000 states/eV per atom
* total moment: 0.00 μB per formula unit
* volume: 15.3 A^3/atom
* uncorrected formation energy: -50.62 kcal/mol of atoms
* symmetry: P2_1/c

=====

2.
The following is a DFT calculation (GGA-PBEsol) of an optimized crystal structure of CsInTe3O8.

abc: 5.811 7.758 11.175
angles: 78.63 89.66 70.41
Fractional coordinates of all 26 atoms:
Cs 0.157 0.117 0.836
Cs 0.843 0.883 0.164
In 0.500 0.500 0.000
In 0.000 0.500 0.500
Te 0.775 0.990 0.581
Te 0.225 0.010 0.419
Te 0.937 0.661 0.851
Te 0.063 0.339 0.149
Te 0.481 0.540 0.657
Te 0.519 0.460 0.343
O 0.798 0.743 0.573
O 0.202 0.257 0.427
O 0.757 0.917 0.768
O 0.243 0.083 0.232
O 0.114 0.956 0.606
O 0.886 0.044 0.394
O 0.741 0.666 0.987
O 0.259 0.334 0.013
O 0.178 0.730 0.922
O 0.822 0.270 0.078
O 0.617 0.448 0.821
O 0.383 0.552 0.179
O 0.745 0.372 0.588
O 0.255 0.628 0.412
O 0.261 0.407 0.659
O 0.739 0.593 0.341

Results
* DFT total energy: -5.639 eV per atom
* Fermi-level density of states: 0.000 states/eV per atom
* total moment: 0.00 μB per formula unit
* volume: 17.9 A^3/atom
* uncorrected formation energy: -29.81 kcal/mol of atoms
* symmetry: P-1

=====

3.
The following is a DFT calculation (GGA-PBEsol) of an optimized crystal structure of CsInOsPb2.

abc: 5.851 5.973 5.973
angles: 90.00 90.00 90.00
Each line ends with the local moment (μB).
Fractional coordinates of all 5 atoms:
Pb 0.000 0.000 0.500  -0.05
Pb 0.000 0.500 0.000  -0.05
Cs 0.000 0.000 0.000  -0.02
Os 0.500 0.500 0.500  2.78
In 0.500 0.000 0.000  -0.03

Results
* DFT total energy: -2.199 eV per atom
* Fermi-level density of states: 1.395 states/eV per atom
* total moment: 2.78 μB per formula unit
* volume: 41.7 A^3/atom
* energy of formation from the pure elements: 2.63 eV per atom
* symmetry: P4/mmm

=====

4.
The following is a DFT calculation (GGA-PBEsol) of an optimized crystal structure of Cs3InP.

abc: 6.888 6.888 6.888
angles: 90.00 90.00 90.00
Each line ends with the local moment (μB).
Fractional coordinates of all 5 atoms:
Cs 0.000 0.500 0.000  0.01
Cs 0.000 0.000 0.500  0.01
Cs 0.500 0.000 0.000  0.01
P 0.500 0.500 0.500  0.57
In 0.000 0.000 0.000  0.09

Results
* DFT total energy: -1.716 eV per atom
* Fermi-level density of states: 1.439 states/eV per atom
* total moment: 1.82 μB per formula unit
* volume: 65.4 A^3/atom
* energy of formation from the pure elements: 0.60 eV per atom
* symmetry: Pm-3m

=====

5.
The following is a DFT calculation (GGA-PBEsol) of an optimized crystal structure of CsIn2P2.

abc: 4.608 4.608 7.604
angles: 107.64 107.64 90.00
Fractional coordinates of all 5 atoms:
Cs 0.000 0.000 0.000
P 0.350 0.350 0.700
P 0.650 0.650 0.300
In 0.250 0.750 0.500
In 0.750 0.250 0.500

Results
* DFT total energy: -3.917 eV per atom
* Fermi-level density of states: 0.164 states/eV per atom
* total moment: 0.00 μB per formula unit
* volume: 29.2 A^3/atom
* energy of formation from the pure elements: -0.22 eV per atom
* symmetry: I4/mmm

=====

6.
The following is a DFT calculation (GGA-PBEsol) of an optimized crystal structure of CsInPb.

abc: 4.997 4.997 9.095
angles: 90.00 90.00 90.00
Fractional coordinates of all 6 atoms:
Pb 0.000 0.500 0.700
Pb 0.500 0.000 0.300
Cs 0.000 0.500 0.161
Cs 0.500 0.000 0.839
In 0.000 0.000 0.500
In 0.500 0.500 0.500

Results
* DFT total energy: -2.853 eV per atom
* Fermi-level density of states: 0.294 states/eV per atom
* total moment: 0.00 μB per formula unit
* volume: 37.8 A^3/atom
* energy of formation from the pure elements: -0.21 eV per atom
* symmetry: P4/nmm

=====

7.
The following is a DFT calculation (GGA-PBEsol) of an optimized crystal structure of CsInPd3.

abc: 5.166 5.166 5.166
angles: 90.00 90.00 90.00
Fractional coordinates of all 5 atoms:
Cs 0.000 0.000 0.000
Pd 0.000 0.500 0.000
Pd 0.000 0.000 0.500
Pd 0.500 0.000 0.000
In 0.500 0.500 0.500

Results
* DFT total energy: -3.085 eV per atom
* Fermi-level density of states: 0.302 states/eV per atom
* total moment: 0.00 μB per formula unit
* volume: 27.6 A^3/atom
* energy of formation from the pure elements: 1.28 eV per atom
* symmetry: Pm-3m

=====

8.
The following is a DFT calculation (GGA-PBEsol) of an optimized crystal structure of CsIn3Rh.

abc: 5.194 5.194 5.194
angles: 90.00 90.00 90.00
Fractional coordinates of all 5 atoms:
Cs 0.500 0.500 0.500
Rh 0.000 0.000 0.000
In 0.000 0.500 0.000
In 0.000 0.000 0.500
In 0.500 0.000 0.000

Results
* DFT total energy: -3.810 eV per atom
* Fermi-level density of states: 0.726 states/eV per atom
* total moment: 0.00 μB per formula unit
* volume: 28.0 A^3/atom
* energy of formation from the pure elements: -0.20 eV per atom
* symmetry: Pm-3m